Material: Nd3HgH
Method: DFT, PBE-GGA
State: optimized geometry

POSCAR file:
```
Nd3HgH
1.0
3.758 0.000 0.000
0.000 8.990 0.000
0.000 0.000 15.053
Nd Hg H
12 4 4
Cartesian
0.939 7.311 10.489
0.939 4.645 5.997
2.818 6.175 2.963
2.818 2.975 0.130
2.818 1.679 4.563
0.939 2.816 12.090
0.939 0.149 1.529
0.939 6.015 14.922
0.939 1.520 7.657
2.818 7.470 7.396
2.818 8.841 13.523
2.818 4.346 9.055
2.818 5.449 12.382
0.939 8.037 4.856
2.818 0.953 10.197
0.939 3.542 2.671
0.939 1.463 14.290
2.818 3.032 6.764
0.939 5.958 8.288
2.818 7.527 0.762
```

Summary:
Fermi-level density of states: 0.858 states/eV per atom
Total magnetic moment: 0.00 μB/f.u.
Distance to the lowest polymorph of the same formula: 0 meV per atom
Raw total energy: -3.92 eV/atom